(one)
DFT (PBE) results for PmSm2Dy9 after structural relaxation.

Cell lengths 5.0402, 5.0402, 15.1235 Å; angles 90.00, 90.00, 90.00 degrees
Closest atoms and distances in Å follow each position.
Fractional positions:
1 Pm 0.0000 0.0000 0.0000  12 Dy 3.56-3.57
2 Sm 0.0000 0.0000 0.3334  12 Dy 3.56
3 Sm 0.0000 0.0000 0.6666  12 Dy 3.56
4 Dy 0.5000 0.5000 0.0000  4 Pm 3.56, 8 Dy 3.57
5 Dy 0.5000 0.5000 0.3336  8 Dy 3.56, 4 Sm 3.56
6 Dy 0.5000 0.5000 0.6664  8 Dy 3.56, 4 Sm 3.56
7 Dy 0.5000 0.0000 0.1670  2 Sm 3.56, 8 Dy 3.56-3.57, 2 Pm 3.57
8 Dy 0.5000 0.0000 0.5000  8 Dy 3.56, 4 Sm 3.56
9 Dy 0.5000 0.0000 0.8330  2 Sm 3.56, 8 Dy 3.56-3.57, 2 Pm 3.57
10 Dy 0.0000 0.5000 0.1670  2 Sm 3.56, 8 Dy 3.56-3.57, 2 Pm 3.57
11 Dy 0.0000 0.5000 0.5000  8 Dy 3.56, 4 Sm 3.56
12 Dy 0.0000 0.5000 0.8330  2 Sm 3.56, 8 Dy 3.56-3.57, 2 Pm 3.57

Calculated values
The volume is 384.2 Å³/cell. The space group is No. 123.


(two)
DFT (PBE) results for PmSm2Dy9 after structural relaxation.

Cell lengths 3.5113, 11.2744, 11.2744 Å; angles 120.00, 90.00, 90.00 degrees
Closest atoms and distances in Å follow each position.
Fractional positions:
1 Pm 0.0000 0.0000 0.0000  2 Pm 3.51, 12 Dy 3.86
2 Sm 0.0000 0.3333 0.6667  9 Dy 3.25-3.54, 2 Sm 3.51
3 Sm 0.0000 0.6667 0.3333  9 Dy 3.25-3.54, 2 Sm 3.51
4 Dy 0.0000 0.0000 0.5000  2 Sm 3.25, 10 Dy 3.51-3.62
5 Dy 0.0000 0.5000 0.5000  2 Sm 3.25, 10 Dy 3.51-3.62
6 Dy 0.0000 0.5000 0.0000  2 Sm 3.25, 10 Dy 3.51-3.62
7 Dy 0.5000 0.3516 0.1758  8 Dy 3.43-3.62, 2 Sm 3.54
8 Dy 0.5000 0.1758 0.8242  8 Dy 3.43-3.62, 2 Sm 3.54
9 Dy 0.5000 0.1758 0.3516  8 Dy 3.43-3.62, 2 Sm 3.54
10 Dy 0.5000 0.8242 0.6484  8 Dy 3.43-3.62, 2 Sm 3.54
11 Dy 0.5000 0.8242 0.1758  8 Dy 3.43-3.62, 2 Sm 3.54
12 Dy 0.5000 0.6484 0.8242  8 Dy 3.43-3.62, 2 Sm 3.54

Calculated values
The volume is 386.5 Å³/cell. The space group is No. 191.


Energy ordering: (one) at the bottom, the next structure 33 meV per atom above.


(one)
DFT (PBE) results for PmSm2Dy5 after structural relaxation.

Cell lengths 9.9159, 6.4966, 10.9068 Å; angles 119.38, 117.04, 90.00 degrees
Closest atoms and distances in Å follow each position.
Fractional positions:
1 Pm 0.0000 0.0000 0.5000  2 Sm 3.03
2 Pm 0.5000 0.5000 0.5000  2 Sm 3.03
3 Sm 0.1764 0.4610 0.8456  1 Pm 3.03, 2 Dy 3.20-3.36, 1 Sm 3.27
4 Sm 0.6692 0.9610 0.8456  1 Pm 3.03, 2 Dy 3.20-3.36, 1 Sm 3.27
5 Sm 0.8236 0.5390 0.1544  1 Pm 3.03, 2 Dy 3.20-3.36, 1 Sm 3.27
6 Sm 0.3308 0.0390 0.1544  1 Pm 3.03, 2 Dy 3.20-3.36, 1 Sm 3.27
7 Dy 0.4915 0.4447 0.8026  4 Sm 3.36-3.73, 1 Pm 3.53, 5 Dy 3.65-3.71
8 Dy 0.9434 0.7500 0.0000  4 Sm 3.20-3.48, 2 Dy 3.44
9 Dy 0.0566 0.2500 0.0000  4 Sm 3.20-3.48, 2 Dy 3.44
10 Dy 0.8925 0.6277 0.6065  1 Sm 3.46, 2 Pm 3.48-3.49, 7 Dy 3.65-3.75
11 Dy 0.1075 0.3723 0.3935  1 Sm 3.46, 2 Pm 3.48-3.49, 7 Dy 3.65-3.75
12 Dy 0.7139 0.1277 0.6065  1 Sm 3.46, 2 Pm 3.48-3.49, 7 Dy 3.65-3.75
13 Dy 0.2861 0.8723 0.3935  1 Sm 3.46, 2 Pm 3.48-3.49, 7 Dy 3.65-3.75
14 Dy 0.5085 0.5553 0.1974  4 Sm 3.36-3.73, 1 Pm 3.53, 5 Dy 3.65-3.71
15 Dy 0.3110 0.9447 0.8026  4 Sm 3.36-3.73, 1 Pm 3.53, 5 Dy 3.65-3.71
16 Dy 0.6890 0.0553 0.1974  4 Sm 3.36-3.73, 1 Pm 3.53, 5 Dy 3.65-3.71

Calculated values
The volume is 522.3 Å³/cell. The space group is No. 15.


(two)
DFT (PBE) results for PmSm2Dy5 after structural relaxation.

Cell lengths 5.0507, 7.1590, 14.3165 Å; angles 90.00, 90.00, 90.00 degrees
Closest atoms and distances in Å follow each position.
Fractional positions:
1 Pm 0.0000 0.0000 0.5000  8 Dy 3.58-3.59, 4 Sm 3.58
2 Pm 0.0000 0.5000 0.0000  8 Dy 3.58-3.59, 4 Sm 3.58
3 Sm 0.5000 0.2507 0.6255  10 Dy 3.56-3.59, 2 Pm 3.58
4 Sm 0.5000 0.7493 0.3745  10 Dy 3.56-3.59, 2 Pm 3.58
5 Sm 0.5000 0.2493 0.1255  10 Dy 3.56-3.59, 2 Pm 3.58
6 Sm 0.5000 0.7507 0.8745  10 Dy 3.56-3.59, 2 Pm 3.58
7 Dy 0.0000 0.0000 0.0000  6 Dy 3.57-3.58, 4 Sm 3.58, 2 Pm 3.58
8 Dy 0.0000 0.5000 0.5000  6 Dy 3.57-3.58, 4 Sm 3.58, 2 Pm 3.58
9 Dy 0.0000 0.5003 0.7493  4 Sm 3.57-3.58, 7 Dy 3.57-3.58, 1 Pm 3.59
10 Dy 0.0000 0.4997 0.2507  4 Sm 3.57-3.58, 7 Dy 3.57-3.58, 1 Pm 3.59
11 Dy 0.0000 0.9997 0.2493  4 Sm 3.57-3.58, 7 Dy 3.57-3.58, 1 Pm 3.59
12 Dy 0.0000 0.0003 0.7507  4 Sm 3.57-3.58, 7 Dy 3.57-3.58, 1 Pm 3.59
13 Dy 0.5000 0.2500 0.8744  4 Sm 3.56-3.59, 6 Dy 3.57-3.58, 2 Pm 3.58
14 Dy 0.5000 0.7500 0.1256  4 Sm 3.56-3.59, 6 Dy 3.57-3.58, 2 Pm 3.58
15 Dy 0.5000 0.2500 0.3744  4 Sm 3.56-3.59, 6 Dy 3.57-3.58, 2 Pm 3.58
16 Dy 0.5000 0.7500 0.6256  4 Sm 3.56-3.59, 6 Dy 3.57-3.58, 2 Pm 3.58

Calculated values
The volume is 517.7 Å³/cell. The space group is No. 55.


Energy ordering: (two) at the bottom, the next structure 152 meV per atom above.


(one)
DFT (PBE) results for Pm4Sm4Dy3 after structural relaxation.

Cell lengths 3.6442, 9.4967, 12.0287 Å; angles 113.25, 98.71, 90.00 degrees
Closest atoms and distances in Å follow each position.
Fractional positions:
1 Pm 0.7398 0.2398 0.4796  2 Dy 3.41, 6 Sm 3.55-3.73, 2 Pm 3.64
2 Pm 0.2602 0.7602 0.5204  2 Dy 3.41, 6 Sm 3.55-3.73, 2 Pm 3.64
3 Pm 0.5000 0.8147 0.0000  2 Sm 3.39, 6 Dy 3.45-3.50, 3 Pm 3.52-3.64
4 Pm 0.5000 0.1853 0.0000  2 Sm 3.39, 6 Dy 3.45-3.50, 3 Pm 3.52-3.64
5 Sm 0.6430 0.4672 0.2861  3 Sm 3.34-3.64, 4 Pm 3.39-3.73, 2 Dy 3.66
6 Sm 0.3570 0.1811 0.7139  3 Sm 3.34-3.64, 4 Pm 3.39-3.73, 2 Dy 3.66
7 Sm 0.3570 0.5328 0.7139  3 Sm 3.34-3.64, 4 Pm 3.39-3.73, 2 Dy 3.66
8 Sm 0.6430 0.8189 0.2861  3 Sm 3.34-3.64, 4 Pm 3.39-3.73, 2 Dy 3.66
9 Dy 0.8923 0.8923 0.7845  6 Pm 3.41-3.45, 2 Dy 3.64, 4 Sm 3.66
10 Dy 0.1077 0.1077 0.2155  6 Pm 3.41-3.45, 2 Dy 3.64, 4 Sm 3.66
11 Dy 0.0000 0.5000 0.0000  4 Pm 3.50, 2 Dy 3.64

Calculated values
The volume is 377.2 Å³/cell. The space group is No. 71.


(two)
DFT (PBE) results for Pm4Sm4Dy3 after structural relaxation.

Cell lengths 3.5575, 5.7057, 18.3350 Å; angles 81.10, 84.42, 89.99 degrees
Closest atoms and distances in Å follow each position.
Fractional positions:
1 Pm 0.5904 0.0911 0.8193  3 Sm 3.24-3.28, 2 Pm 3.56
2 Pm 0.2676 0.2673 0.4652  4 Sm 3.42-3.62, 6 Pm 3.56-3.59
3 Pm 0.7324 0.7327 0.5348  4 Sm 3.42-3.62, 6 Pm 3.56-3.59
4 Pm 0.4096 0.9089 0.1807  3 Sm 3.24-3.28, 2 Pm 3.56
5 Sm 0.5461 0.5467 0.9085  2 Pm 3.27-3.28, 3 Sm 3.30-3.56
6 Sm 0.4540 0.4533 0.0915  2 Pm 3.27-3.28, 3 Sm 3.30-3.56
7 Sm 0.3198 0.8197 0.3602  5 Pm 3.24-3.62, 2 Sm 3.56
8 Sm 0.6802 0.1804 0.6398  5 Pm 3.24-3.62, 2 Sm 3.56
9 Dy 0.1361 0.6363 0.7281  2 Dy 3.56, 6 Sm 3.71-3.72, 6 Pm 3.74-3.91
10 Dy 0.8639 0.3638 0.2719  2 Dy 3.56, 6 Sm 3.71-3.72, 6 Pm 3.74-3.91
11 Dy 0.0000 0.0000 0.0000  2 Dy 3.56, 4 Pm 3.71, 8 Sm 3.74-3.75

Calculated values
The volume is 365.9 Å³/cell. The space group is No. 2.


Energy ordering: (two) at the bottom, the next structure 73 meV per atom above.


(one)
DFT (PBE) results for PmSmDy2 after structural relaxation.

Cell lengths 3.5914, 3.5914, 11.8601 Å; angles 81.29, 81.29, 60.00 degrees
Closest atoms and distances in Å follow each position.
Fractional positions:
1 Pm 0.5000 0.5000 0.5000  6 Dy 3.59, 6 Pm 3.59
2 Sm 0.0000 0.0000 0.0000  6 Dy 3.58, 6 Sm 3.59
3 Dy 0.2502 0.2502 0.2495  3 Sm 3.58, 3 Pm 3.59, 6 Dy 3.59
4 Dy 0.7498 0.7498 0.7505  3 Sm 3.58, 3 Pm 3.59, 6 Dy 3.59

Calculated values
The volume is 130.4 Å³/cell. The space group is No. 166.


(two)
DFT (PBE) results for PmSmDy2 after structural relaxation.

Cell lengths 3.6481, 6.8141, 6.8141 Å; angles 55.12, 74.49, 74.49 degrees
Closest atoms and distances in Å follow each position.
Fractional positions:
1 Pm 0.2500 0.1664 0.3336  6 Dy 3.56-3.57, 4 Sm 3.64, 2 Pm 3.65
2 Sm 0.7500 0.6659 0.8341  6 Dy 3.56-3.57, 4 Pm 3.64, 2 Sm 3.65
3 Dy 0.0001 0.0836 0.9159  3 Pm 3.56-3.57, 3 Sm 3.56-3.57, 6 Dy 3.64-3.65
4 Dy 0.4999 0.5841 0.4164  3 Pm 3.56-3.57, 3 Sm 3.56-3.57, 6 Dy 3.64-3.65

Calculated values
The volume is 132.5 Å³/cell. The space group is No. 44.


Energy ordering: (one) at the bottom, the next structure 13 meV per atom above.


(one)
DFT (PBE) results for PmSmDy2 after structural relaxation.

Cell lengths 3.5905, 3.5905, 10.1493 Å; angles 90.00, 90.00, 90.00 degrees
Closest atoms and distances in Å follow each position.
Fractional positions:
1 Pm 0.5000 0.5000 0.0000  4 Pm 3.59, 8 Dy 3.60
2 Sm 0.5000 0.5000 0.5000  8 Dy 3.58, 4 Sm 3.59
3 Dy 0.0000 0.0000 0.7492  4 Sm 3.58, 4 Dy 3.59, 4 Pm 3.60
4 Dy 0.0000 0.0000 0.2508  4 Sm 3.58, 4 Dy 3.59, 4 Pm 3.60

Calculated values
The volume is 130.8 Å³/cell. The space group is No. 123.


(two)
DFT (PBE) results for PmSmDy2 after structural relaxation.

Cell lengths 5.7166, 5.7166, 5.7166 Å; angles 60.00, 60.00, 60.00 degrees
Closest atoms and distances in Å follow each position.
Fractional positions:
1 Pm 0.0000 0.0000 0.0000  8 Dy 3.50
2 Sm 0.5000 0.5000 0.5000  8 Dy 3.50
3 Dy 0.2500 0.2500 0.2500  4 Pm 3.50, 4 Sm 3.50
4 Dy 0.7500 0.7500 0.7500  4 Pm 3.50, 4 Sm 3.50

Calculated values
The volume is 132.1 Å³/cell. The space group is No. 225.


Energy ordering: (one) at the bottom, the next structure 113 meV per atom above.


(one)
DFT (PBE) results for Pm4SmDy4 after structural relaxation.

Cell lengths 5.6320, 8.9170, 9.0068 Å; angles 44.82, 71.78, 71.59 degrees
Closest atoms and distances in Å follow each position.
Fractional positions:
1 Pm 0.2815 0.1492 0.2879  2 Dy 3.36-3.58, 1 Sm 3.45, 3 Pm 3.53
2 Pm 0.7185 0.8508 0.7121  2 Dy 3.36-3.58, 1 Sm 3.45, 3 Pm 3.53
3 Pm 0.8661 0.3061 0.9616  5 Dy 3.37-3.69, 3 Pm 3.53, 2 Sm 3.69
4 Pm 0.1339 0.6939 0.0384  5 Dy 3.37-3.69, 3 Pm 3.53, 2 Sm 3.69
5 Sm 0.5000 0.0000 0.0000  6 Pm 3.45-3.69, 6 Dy 3.62-3.70
6 Dy 0.6290 0.4258 0.3162  5 Pm 3.38-3.77, 2 Dy 3.40, 1 Sm 3.62
7 Dy 0.9266 0.7659 0.3808  4 Pm 3.36-3.69, 3 Dy 3.40-3.46, 2 Sm 3.70
8 Dy 0.3710 0.5742 0.6838  5 Pm 3.38-3.77, 2 Dy 3.40, 1 Sm 3.62
9 Dy 0.0734 0.2341 0.6192  4 Pm 3.36-3.69, 3 Dy 3.40-3.46, 2 Sm 3.70

Calculated values
The volume is 299.8 Å³/cell. The space group is No. 12.


(two)
DFT (PBE) results for Pm4SmDy4 after structural relaxation.

Cell lengths 5.0830, 8.0500, 8.0500 Å; angles 84.28, 71.60, 71.60 degrees
Closest atoms and distances in Å follow each position.
Fractional positions:
1 Pm 0.6683 0.3317 0.3317  1 Sm 3.58, 6 Dy 3.59-3.60, 5 Pm 3.62-3.64
2 Pm 0.3317 0.6683 0.6683  1 Sm 3.58, 6 Dy 3.59-3.60, 5 Pm 3.62-3.64
3 Pm 0.0000 0.6683 0.3317  1 Sm 3.58, 6 Dy 3.59-3.60, 5 Pm 3.62-3.64
4 Pm 0.0000 0.3317 0.6683  1 Sm 3.58, 6 Dy 3.59-3.60, 5 Pm 3.62-3.64
5 Sm 0.0000 0.0000 0.0000  4 Pm 3.58, 8 Dy 3.60
6 Dy 0.6665 0.6671 0.0000  6 Pm 3.59-3.60, 2 Sm 3.60, 4 Dy 3.60
7 Dy 0.3335 0.3329 0.0000  6 Pm 3.59-3.60, 2 Sm 3.60, 4 Dy 3.60
8 Dy 0.6665 0.0000 0.6671  6 Pm 3.59-3.60, 2 Sm 3.60, 4 Dy 3.60
9 Dy 0.3335 0.0000 0.3329  6 Pm 3.59-3.60, 2 Sm 3.60, 4 Dy 3.60

Calculated values
The volume is 296.6 Å³/cell. The space group is No. 139.


Energy ordering: (two) at the bottom, the next structure 86 meV per atom above.


(one)
DFT (PBE) results for PmSm3Dy5 after structural relaxation.

Cell lengths 9.5360, 9.5360, 11.6634 Å; angles 52.53, 52.53, 73.57 degrees
Closest atoms and distances in Å follow each position.
Fractional positions:
1 Pm 0.1587 0.1587 0.5934  4 Sm 3.19-3.36, 2 Dy 3.37-3.39
2 Pm 0.8413 0.8413 0.4066  4 Sm 3.19-3.36, 2 Dy 3.37-3.39
3 Sm 0.6952 0.6952 0.8119  1 Sm 3.03, 5 Dy 3.19-3.38, 1 Pm 3.36
4 Sm 0.6606 0.6606 0.3600  1 Pm 3.19, 2 Sm 3.22-3.38, 4 Dy 3.27-3.53
5 Sm 0.0000 0.0000 0.0000  4 Dy 2.94-3.17
6 Sm 0.0000 0.0000 0.5000  2 Sm 3.03, 2 Pm 3.33
7 Sm 0.3048 0.3048 0.1881  1 Sm 3.03, 5 Dy 3.19-3.38, 1 Pm 3.36
8 Sm 0.3394 0.3394 0.6400  1 Pm 3.19, 2 Sm 3.22-3.38, 4 Dy 3.27-3.53
9 Dy 0.8486 0.3487 0.2510  3 Dy 3.31-3.70, 2 Sm 3.49-3.53
10 Dy 0.2574 0.7426 0.0000  1 Sm 2.94
11 Dy 0.8185 0.8185 0.9565  3 Sm 3.17-3.35, 3 Dy 3.26-3.31, 1 Pm 3.39
12 Dy 0.4962 0.4962 0.2247  3 Sm 3.19-3.40, 3 Dy 3.26-3.38, 1 Pm 3.37
13 Dy 0.5038 0.5038 0.7753  3 Sm 3.19-3.40, 3 Dy 3.26-3.38, 1 Pm 3.37
14 Dy 0.1815 0.1815 0.0435  3 Sm 3.17-3.35, 3 Dy 3.26-3.31, 1 Pm 3.39
15 Dy 0.3487 0.8486 0.2510  3 Dy 3.31-3.70, 2 Sm 3.49-3.53
16 Dy 0.7426 0.2574 0.0000  1 Sm 2.94
17 Dy 0.1514 0.6513 0.7490  3 Dy 3.31-3.70, 2 Sm 3.49-3.53
18 Dy 0.6513 0.1514 0.7490  3 Dy 3.31-3.70, 2 Sm 3.49-3.53

Calculated values
The volume is 661.7 Å³/cell. The space group is No. 12.


(two)
DFT (PBE) results for PmSm3Dy5 after structural relaxation.

Cell lengths 6.1143, 11.0322, 11.5271 Å; angles 124.34, 90.00, 106.09 degrees
Closest atoms and distances in Å follow each position.
Fractional positions:
1 Pm 0.9025 0.0000 0.7500  2 Sm 2.94, 2 Dy 2.97-3.15
2 Pm 0.0975 0.0000 0.2500  2 Sm 2.94, 2 Dy 2.97-3.15
3 Sm 0.0000 0.0000 0.0000  2 Pm 2.94, 2 Dy 3.10
4 Sm 0.3973 0.3653 0.3272  1 Sm 3.30, 4 Dy 3.37-3.55, 1 Pm 3.50
5 Sm 0.0000 0.0000 0.5000  2 Pm 2.94, 2 Dy 3.10
6 Sm 0.6027 0.6347 0.6728  1 Sm 3.30, 4 Dy 3.37-3.55, 1 Pm 3.50
7 Sm 0.9680 0.3653 0.8272  1 Sm 3.30, 4 Dy 3.37-3.55, 1 Pm 3.50
8 Sm 0.0320 0.6347 0.1728  1 Sm 3.30, 4 Dy 3.37-3.55, 1 Pm 3.50
9 Dy 0.4174 0.0000 0.7500  2 Pm 2.97-3.15
10 Dy 0.6195 0.6419 0.9794  5 Dy 3.36-3.74, 2 Sm 3.41-3.49, 1 Pm 3.68
11 Dy 0.8190 0.2791 0.1372  2 Sm 3.10-3.37
12 Dy 0.3805 0.3581 0.0206  5 Dy 3.36-3.74, 2 Sm 3.41-3.49, 1 Pm 3.68
13 Dy 0.5399 0.7209 0.3628  2 Sm 3.10-3.37
14 Dy 0.5826 0.0000 0.2500  2 Pm 2.97-3.15
15 Dy 0.0225 0.6419 0.4794  5 Dy 3.36-3.74, 2 Sm 3.41-3.49, 1 Pm 3.68
16 Dy 0.9775 0.3581 0.5206  5 Dy 3.36-3.74, 2 Sm 3.41-3.49, 1 Pm 3.68
17 Dy 0.4601 0.2791 0.6372  2 Sm 3.10-3.37
18 Dy 0.1810 0.7209 0.8628  2 Sm 3.10-3.37

Calculated values
The volume is 604.8 Å³/cell. The space group is No. 15.


Energy ordering: (two) at the bottom, the next structure 199 meV per atom above.


(one)
DFT (PBE) results for Pm4Sm5Dy after structural relaxation.

Cell lengths 6.1497, 8.1043, 8.1043 Å; angles 81.72, 67.70, 67.70 degrees
Closest atoms and distances in Å follow each position.
Fractional positions:
1 Pm 0.4388 0.3246 0.6759  2 Sm 3.31, 1 Dy 3.69
2 Pm 0.7635 0.6759 0.6754  2 Sm 3.31, 1 Dy 3.69
3 Pm 0.1148 0.3241 0.3246  2 Sm 3.31, 1 Dy 3.69
4 Pm 0.4394 0.6754 0.3241  2 Sm 3.31, 1 Dy 3.69
5 Sm 0.7720 0.3776 0.9995  1 Dy 3.26, 3 Sm 3.29-3.58, 2 Pm 3.31
6 Sm 0.1497 0.9995 0.6224  1 Dy 3.26, 3 Sm 3.29-3.58, 2 Pm 3.31
7 Sm 0.7715 0.0005 0.3776  1 Dy 3.26, 3 Sm 3.29-3.58, 2 Pm 3.31
8 Sm 0.1491 0.6224 0.0005  1 Dy 3.26, 3 Sm 3.29-3.58, 2 Pm 3.31
9 Sm 0.6894 0.0000 0.0000  1 Dy 2.87
10 Dy 0.2220 0.0000 0.0000  1 Sm 2.87

Calculated values
The volume is 345.8 Å³/cell. The space group is No. 107.


(two)
DFT (PBE) results for Pm4Sm5Dy after structural relaxation.

Cell lengths 3.5806, 11.2005, 8.9320 Å; angles 89.94, 101.65, 89.95 degrees
Closest atoms and distances in Å follow each position.
Fractional positions:
1 Pm 0.6539 0.2504 0.3057  4 Pm 3.58-3.65, 7 Sm 3.72-3.89, 1 Dy 3.88
2 Pm 0.9703 0.2488 0.9424  4 Sm 3.34-3.38, 2 Dy 3.35, 4 Pm 3.58-3.65
3 Pm 0.3461 0.7496 0.6943  4 Pm 3.58-3.65, 7 Sm 3.72-3.89, 1 Dy 3.88
4 Pm 0.0297 0.7512 0.0576  4 Sm 3.34-3.38, 2 Dy 3.35, 4 Pm 3.58-3.65
5 Sm 0.1733 0.5565 0.3482  2 Pm 3.35-3.72, 6 Sm 3.44-3.59
6 Sm 0.1737 0.9463 0.3464  1 Pm 3.34, 4 Sm 3.44-3.58, 2 Dy 3.57
7 Sm 0.8263 0.0537 0.6536  1 Pm 3.34, 4 Sm 3.44-3.58, 2 Dy 3.57
8 Sm 0.5000 0.5000 0.0000  4 Pm 3.37-3.38, 6 Sm 3.58-3.59
9 Sm 0.8267 0.4435 0.6518  2 Pm 3.35-3.72, 6 Sm 3.44-3.59
10 Dy 0.5000 0.0000 0.0000  4 Pm 3.35, 4 Sm 3.57, 2 Dy 3.58

Calculated values
The volume is 350.8 Å³/cell. The space group is No. 2.


Energy ordering: (two) at the bottom, the next structure 63 meV per atom above.